#i
Density functional theory data (GGA-PBEsol) for a geometry-optimized K2BeAs structure.

a = 3.2896 Å, b = 5.0049 Å, c = 6.1358 Å
α = 90.00°, β = 90.00°, γ = 90.00°
Element x y z (fractional)
1 K 0.0000 0.0000 0.2407
2 K 0.0000 0.0000 0.7593
3 Be 0.5000 0.5000 0.5000
4 As 0.5000 0.5000 0.0000

space group = Pmmm, No. 47
size of the total moment = 0.0 μB per cell

***

#ii
Density functional theory data (GGA-PBEsol) for a geometry-optimized K2BeAs structure.

a = 5.2008 Å, b = 5.2008 Å, c = 5.2008 Å
α = 119.95°, β = 119.95°, γ = 90.09°
Element x y z (fractional)
1 K 0.0000 0.0000 0.0000
2 K 0.7500 0.2500 0.5000
3 Be 0.2500 0.7500 0.5000
4 As 0.5000 0.5000 0.0000

space group = I-4m2, No. 119
size of the total moment = 0.0 μB per cell

***

Which one sits at the top of the stability order? #ii does.

***

#i
Density functional theory data (GGA-PBEsol) for a geometry-optimized LiBeAs2 structure.

a = 4.5624 Å, b = 4.5624 Å, c = 4.5624 Å
α = 126.80°, β = 126.80°, γ = 78.58°
Element x y z (fractional)
1 Li 0.0000 0.0000 0.0000
2 Be 0.5000 0.5000 0.0000
3 As 0.2500 0.7500 0.5000
4 As 0.7500 0.2500 0.5000

space group = I4/mmm, No. 139
size of the total moment = 0.0 μB per cell

***

#ii
Density functional theory data (GGA-PBEsol) for a geometry-optimized LiBeAs2 structure.

a = 3.3381 Å, b = 3.3381 Å, c = 5.6518 Å
α = 90.00°, β = 90.00°, γ = 90.00°
Element x y z (fractional)
1 Li 0.0000 0.0000 0.0000
2 Be 0.5000 0.5000 0.6040
3 As 0.0000 0.0000 0.5420
4 As 0.5000 0.5000 0.2042

space group = P4mm, No. 99
size of the total moment = 0.0 μB per cell

***

#iii
Density functional theory data (GGA-PBEsol) for a geometry-optimized LiBeAs2 structure.

a = 5.5125 Å, b = 5.5125 Å, c = 3.6860 Å
α = 109.40°, β = 109.40°, γ = 39.03°
Element x y z (fractional)
1 Li 0.0000 0.0000 0.0000
2 Be 0.7501 0.7501 0.2463
3 As 0.3770 0.3770 0.3781
4 As 0.6235 0.6235 0.6207

space group = Cm, No. 8
size of the total moment = 0.0 μB per cell

***

#iv
Density functional theory data (GGA-PBEsol) for a geometry-optimized LiBeAs2 structure.

a = 4.3843 Å, b = 4.3843 Å, c = 4.3843 Å
α = 60.00°, β = 60.00°, γ = 60.00°
Element x y z (fractional)
1 Li 0.0000 0.0000 0.0000
2 Be 0.5000 0.5000 0.5000
3 As 0.2500 0.2500 0.2500
4 As 0.7500 0.7500 0.7500

space group = Fm-3m, No. 225
size of the total moment = 0.0 μB per cell

***

Which one sits at the top of the stability order? #iii does.

***

#i
Density functional theory data (GGA-PBEsol) for a geometry-optimized MgBeAs2 structure.

a = 7.0383 Å, b = 7.0383 Å, c = 7.0383 Å
α = 27.71°, β = 27.71°, γ = 27.71°
Element x y z (fractional)
1 Mg 0.0000 0.0000 0.0000
2 Be 0.5000 0.5000 0.5000
3 As 0.2351 0.2351 0.2351
4 As 0.7649 0.7649 0.7649

space group = R-3m, No. 166
size of the total moment = 0.0 μB per cell

***

#ii
Density functional theory data (GGA-PBEsol) for a geometry-optimized MgBeAs2 structure.

a = 4.5698 Å, b = 4.5698 Å, c = 4.5698 Å
α = 60.00°, β = 60.00°, γ = 60.00°
Element x y z (fractional)
1 Mg 0.0000 0.0000 0.0000
2 Be 0.2500 0.2500 0.2500
3 As 0.5000 0.5000 0.5000
4 As 0.7500 0.7500 0.7500

space group = F-43m, No. 216
size of the total moment = 0.0 μB per cell

***

#iii
Density functional theory data (GGA-PBEsol) for a geometry-optimized MgBeAs2 structure.

a = 6.3219 Å, b = 6.3219 Å, c = 6.3219 Å
α = 148.93°, β = 147.99°, γ = 45.21°
Element x y z (fractional)
1 Mg 0.0000 0.0000 0.0000
2 Be 0.7602 0.2602 0.5000
3 As 0.3181 0.8181 0.5000
4 As 0.6214 0.6214 0.0000

space group = Imm2, No. 44
size of the total moment = 0.0 μB per cell

***

Which one sits at the top of the stability order? #i does.

***

#i
Density functional theory data (GGA-PBEsol) for a geometry-optimized BeAsOs structure.

a = 4.3548 Å, b = 4.3548 Å, c = 4.3548 Å
α = 140.09°, β = 134.57°, γ = 62.04°
Element x y z (fractional)
1 Be 0.0000 0.0000 0.0000
2 As 0.3246 0.3246 0.0000
3 Os 0.6600 0.6600 0.0000

space group = Imm2, No. 44
size of the total moment = 0.0 μB per cell

***

#ii
Density functional theory data (GGA-PBEsol) for a geometry-optimized BeAsOs structure.

a = 3.9728 Å, b = 3.9728 Å, c = 3.9728 Å
α = 60.00°, β = 60.00°, γ = 60.00°
Element x y z (fractional)
1 Be 0.0000 0.0000 0.0000
2 As 0.5000 0.5000 0.5000
3 Os 0.2500 0.2500 0.2500

space group = F-43m, No. 216
size of the total moment = 0.0 μB per cell

***

Which one sits at the top of the stability order? #i does.